DFT (GGA+U) results for MnTl2CrF6 after structural relaxation.

As for the density of states at the Fermi level: 0.00 states/eV per cell. The volume is 16.14 A^3/atom. The total DFT energy (no corrections) comes out at -5.41 eV per atom. The calculation puts the magnetization at 0.900 μB per atom.

The space group is I4/mmm (No. 139) and the conventional cell measures 5.958, 5.958 and 9.094 Å, with angles of 90.00, 90.00 and 90.00 degrees. The inequivalent atoms are Mn at (0.000, 0.000, 0.000), Tl at (0.000, 0.500, 0.250), Cr at (0.000, 0.000, 0.500), F at (0.000, 0.000, 0.232) and F at (0.243, 0.243, 0.500).